The following is a DFT calculation (GGA+U) of an optimized crystal structure of RbDyMnF6.

Lattice parameters (Å, degrees): 5.9223 5.9223 11.7272 90.00 90.00 120.00
Atoms (fractional coordinates):
F1 0.3809 0.3857 0.3489
F2 0.6191 0.6143 0.6511
F3 0.0048 0.6191 0.3489
F4 0.6143 0.9952 0.3489
F5 0.6143 0.6191 0.1511
F6 0.3857 0.3809 0.8489
F7 0.9952 0.6143 0.8489
F8 0.6191 0.0048 0.8489
F9 0.3857 0.0048 0.6511
F10 0.3809 0.9952 0.1511
F11 0.0048 0.3857 0.1511
F12 0.9952 0.3809 0.6511
Mn1 0.3333 0.6667 0.2500
Mn2 0.6667 0.3333 0.7500
Dy1 0.6667 0.3333 0.2500
Dy2 0.3333 0.6667 0.7500
Rb1 0.0000 0.0000 0.5000
Rb2 0.0000 0.0000 0.0000

total energy = -6.0452 eV/atom